Entry 1:
A plane-wave DFT calculation with GGA-PBE was carried out for a geometry-optimized NdPaNiN3 structure.

Unit cell a=7.220 b=3.472 c=7.245 alpha=90.00 beta=100.96 gamma=90.00
Sites, in units of the cell vectors:
Nd: 0.174 0.250 0.217
Nd: 0.826 0.750 0.783
Pa: 0.335 0.750 0.819
Pa: 0.665 0.250 0.181
Ni: 0.096 0.250 0.575
Ni: 0.904 0.750 0.425
N: 0.133 0.250 0.865
N: 0.189 0.750 0.490
N: 0.438 0.750 0.143
N: 0.562 0.250 0.857
N: 0.811 0.250 0.510
N: 0.867 0.750 0.135

Crystal system: monoclinic
VASP energy in eV per atom: -8.564
Size of the total moment in Bohr magnetons per cell: 0.000
DOS at the Fermi energy in states/eV/f.u.: 2.6

Entry 2:
A plane-wave DFT calculation with GGA-PBE was carried out for a geometry-optimized LiIn3Hg12 structure.

Unit cell a=4.392 b=4.392 c=21.197 alpha=90.00 beta=90.00 gamma=90.00
Sites, in units of the cell vectors:
Li: 0.000 0.000 0.000
In: 0.000 0.000 0.250
In: 0.000 0.000 0.500
In: 0.000 0.000 0.750
Hg: 0.000 0.500 0.111
Hg: 0.000 0.500 0.371
Hg: 0.000 0.500 0.629
Hg: 0.000 0.500 0.889
Hg: 0.500 0.000 0.111
Hg: 0.500 0.000 0.371
Hg: 0.500 0.000 0.629
Hg: 0.500 0.000 0.889
Hg: 0.500 0.500 0.000
Hg: 0.500 0.500 0.232
Hg: 0.500 0.500 0.500
Hg: 0.500 0.500 0.768

Crystal system: tetragonal
Size of the total moment in Bohr magnetons per cell: 0.000
Formation energy in eV per atom: -0.04
DOS at the Fermi energy in states/eV/f.u.: 4.9

Question: Which value of size of the total moment does entry 2 give?
Answer: 0.000 Bohr magnetons per cell